Run w
A geometry-optimized Ba2Hg2I structure, computed with PBE.

CIF file:
```
data_Ba2Hg2I
_space_group_name_H-M_alt 'P 1'
_space_group_IT_number 1
_cell_length_a 10.310
_cell_length_b 10.310
_cell_length_c 10.310
_cell_angle_alpha 154.74
_cell_angle_beta 154.74
_cell_angle_gamma 36.02
loop_
_space_group_symop_operation_xyz
'x,y,z'
loop_
_atom_site_label
_atom_site_type_symbol
_atom_site_fract_x
_atom_site_fract_y
_atom_site_fract_z
Ba1 Ba 0.117 0.117 0.000
Ba2 Ba 0.883 0.883 0.000
Hg1 Hg 0.250 0.750 0.500
Hg2 Hg 0.750 0.250 0.500
I1 I 0.500 0.500 0.000
```


Run x
A geometry-optimized Ba2Hg2I structure, computed with PBE.

CIF file:
```
data_Ba2Hg2I
_space_group_name_H-M_alt 'P 1'
_space_group_IT_number 1
_cell_length_a 9.401
_cell_length_b 9.401
_cell_length_c 4.462
_cell_angle_alpha 90.00
_cell_angle_beta 90.00
_cell_angle_gamma 90.00
loop_
_space_group_symop_operation_xyz
'x,y,z'
loop_
_atom_site_label
_atom_site_type_symbol
_atom_site_fract_x
_atom_site_fract_y
_atom_site_fract_z
Ba1 Ba 0.174 0.326 0.000
Ba2 Ba 0.326 0.826 0.000
Ba3 Ba 0.674 0.174 0.000
Ba4 Ba 0.826 0.674 0.000
Hg1 Hg 0.119 0.619 0.500
Hg2 Hg 0.381 0.119 0.500
Hg3 Hg 0.619 0.881 0.500
Hg4 Hg 0.881 0.381 0.500
I1 I 0.000 0.000 0.500
I2 I 0.500 0.500 0.500
```


Ranking the structures above by stability puts run x first and run w last.